--- a ---
A plane-wave DFT calculation with PBE was carried out for an optimized crystal structure of TcNF2.

## Properties
SG = R-3m (166)
Size of the total moment = 0.00 μB per formula unit

Unit cell a=8.039 b=8.039 c=8.039 alpha=18.85 beta=18.85 gamma=18.85
Fractional coordinates of all 4 atoms:
N1 0.000 0.000 0.000
Tc1 0.500 0.500 0.500
F1 0.902 0.902 0.902
F2 0.098 0.098 0.098


--- b ---
A plane-wave DFT calculation with PBE was carried out for an optimized crystal structure of TcNF2.

## Properties
SG = I-42d (122)
Size of the total moment = 1.49 μB per formula unit

Unit cell a=3.166 b=3.166 c=8.058 alpha=78.67 beta=78.67 gamma=90.00
Last column: magnetic moment on the atom in μB.
Fractional coordinates of all 8 atoms:
N1 0.500 0.500 0.000  -0.42
N2 0.250 0.750 0.500  -0.42
Tc1 0.000 0.000 0.000  1.91
Tc2 0.750 0.250 0.500  1.91
F1 0.647 0.125 0.250  0.00
F2 0.103 0.625 0.250  0.00
F3 0.375 0.353 0.750  0.00
F4 0.875 0.897 0.750  0.01


Which one is most stable, and which one is least stable? b is the most stable of them, while a is the least stable.


--- a ---
A plane-wave DFT calculation with PBE was carried out for an optimized crystal structure of TcNF3.

## Properties
SG = Pm-3m (221)
Size of the total moment = 4.37 μB per formula unit

Unit cell a=3.937 b=3.937 c=3.937 alpha=90.00 beta=90.00 gamma=90.00
Last column: magnetic moment on the atom in μB.
Fractional coordinates of all 5 atoms:
N1 0.000 0.000 0.000  -0.31
Tc1 0.500 0.500 0.500  4.16
F1 0.000 0.500 0.000  0.06
F2 0.000 0.000 0.500  0.05
F3 0.500 0.000 0.000  0.02


--- b ---
A plane-wave DFT calculation with PBE was carried out for an optimized crystal structure of TcNF3.

## Properties
SG = Pm-3m (221)
Size of the total moment = 0.00 μB per formula unit

Unit cell a=3.996 b=3.996 c=3.996 alpha=90.00 beta=90.00 gamma=90.00
Fractional coordinates of all 5 atoms:
N1 0.500 0.500 0.500
Tc1 0.000 0.000 0.000
F1 0.000 0.500 0.000
F2 0.000 0.000 0.500
F3 0.500 0.000 0.000


Which one is most stable, and which one is least stable? b is the most stable of them, while a is the least stable.


--- a ---
A plane-wave DFT calculation with PBE was carried out for an optimized crystal structure of TcN2F.

## Properties
SG = Fm-3m (225)
Size of the total moment = 0.00 μB per formula unit

Unit cell a=3.661 b=3.661 c=3.661 alpha=60.00 beta=60.00 gamma=60.00
Fractional coordinates of all 4 atoms:
N1 0.250 0.250 0.250
N2 0.750 0.750 0.750
Tc1 0.500 0.500 0.500
F1 0.000 0.000 0.000


--- b ---
A plane-wave DFT calculation with PBE was carried out for an optimized crystal structure of TcN2F.

## Properties
SG = I-42d (122)
Size of the total moment = 0.00 μB per formula unit

Unit cell a=5.275 b=5.275 c=5.677 alpha=62.32 beta=62.32 gamma=90.00
Fractional coordinates of all 8 atoms:
N1 0.752 0.125 0.250
N2 0.998 0.625 0.250
N3 0.375 0.248 0.750
N4 0.875 0.002 0.750
Tc1 0.000 0.000 0.000
Tc2 0.750 0.250 0.500
F1 0.500 0.500 0.000
F2 0.250 0.750 0.500


--- c ---
A plane-wave DFT calculation with PBE was carried out for an optimized crystal structure of TcN2F.

## Properties
SG = R-3m (166)
Size of the total moment = 0.00 μB per formula unit

Unit cell a=6.087 b=6.087 c=6.087 alpha=27.90 beta=27.90 gamma=27.90
Fractional coordinates of all 4 atoms:
N1 0.898 0.898 0.898
N2 0.102 0.102 0.102
Tc1 0.500 0.500 0.500
F1 0.000 0.000 0.000


Which one is most stable, and which one is least stable? b is the most stable of them, while a is the least stable.


--- a ---
A plane-wave DFT calculation with PBE was carried out for an optimized crystal structure of TiTcN2F.

## Properties
SG = P4/mmm (123)
Size of the total moment = 0.04 μB per formula unit

Unit cell a=3.895 b=3.895 c=3.962 alpha=90.00 beta=90.00 gamma=90.00
Last column: magnetic moment on the atom in μB.
Fractional coordinates of all 5 atoms:
N1 0.000 0.500 0.000  -0.03
N2 0.500 0.000 0.000  -0.03
F1 0.000 0.000 0.500  0.00
Tc1 0.000 0.000 0.000  0.06
Ti1 0.500 0.500 0.500  0.04


--- b ---
A plane-wave DFT calculation with PBE was carried out for an optimized crystal structure of TiTcN2F.

## Properties
SG = P4/mmm (123)
Size of the total moment = 3.95 μB per formula unit

Unit cell a=4.002 b=4.002 c=3.781 alpha=90.00 beta=90.00 gamma=90.00
Last column: magnetic moment on the atom in μB.
Fractional coordinates of all 5 atoms:
N1 0.000 0.500 0.000  -0.08
N2 0.500 0.000 0.000  -0.08
F1 0.000 0.000 0.500  0.06
Tc1 0.500 0.500 0.500  3.59
Ti1 0.000 0.000 0.000  0.12


Which one is most stable, and which one is least stable? b is the most stable of them, while a is the least stable.


--- a ---
A plane-wave DFT calculation with PBE was carried out for an optimized crystal structure of YTcNF2.

## Properties
SG = P4/mmm (123)
Size of the total moment = 0.22 μB per formula unit

Unit cell a=4.265 b=4.265 c=3.869 alpha=90.00 beta=90.00 gamma=90.00
Last column: magnetic moment on the atom in μB.
Fractional coordinates of all 5 atoms:
Y1 0.500 0.500 0.500  0.13
N1 0.000 0.000 0.500  0.00
Tc1 0.000 0.000 0.000  0.00
F1 0.000 0.500 0.000  0.01
F2 0.500 0.000 0.000  0.01


--- b ---
A plane-wave DFT calculation with PBE was carried out for an optimized crystal structure of YTcNF2.

## Properties
SG = P4/mmm (123)
Size of the total moment = 4.79 μB per formula unit

Unit cell a=4.249 b=4.249 c=4.778 alpha=90.00 beta=90.00 gamma=90.00
Last column: magnetic moment on the atom in μB.
Fractional coordinates of all 5 atoms:
Y1 0.000 0.000 0.000  0.01
N1 0.000 0.000 0.500  0.10
Tc1 0.500 0.500 0.500  3.93
F1 0.000 0.500 0.000  0.03
F2 0.500 0.000 0.000  0.03


Which one is most stable, and which one is least stable? a is the most stable of them, while b is the least stable.


--- a ---
A plane-wave DFT calculation with PBE was carried out for an optimized crystal structure of Te2N2F.

## Properties
SG = P4/mmm (123)
Size of the total moment = 4.29 μB per formula unit

Unit cell a=4.672 b=4.672 c=4.271 alpha=90.00 beta=90.00 gamma=90.00
Last column: magnetic moment on the atom in μB.
Fractional coordinates of all 5 atoms:
N1 0.000 0.500 0.000  1.49
N2 0.500 0.000 0.000  1.49
Te1 0.500 0.500 0.500  -0.10
Te2 0.000 0.000 0.500  0.00
F1 0.000 0.000 0.000  0.15


--- b ---
A plane-wave DFT calculation with PBE was carried out for an optimized crystal structure of Te2N2F.

## Properties
SG = P4/mmm (123)
Size of the total moment = 0.00 μB per formula unit

Unit cell a=4.550 b=4.550 c=3.753 alpha=90.00 beta=90.00 gamma=90.00
Fractional coordinates of all 5 atoms:
N1 0.000 0.000 0.000
N2 0.000 0.000 0.500
Te1 0.000 0.500 0.000
Te2 0.500 0.000 0.000
F1 0.500 0.500 0.500


--- c ---
A plane-wave DFT calculation with PBE was carried out for an optimized crystal structure of Te2N2F.

## Properties
SG = P4/mmm (123)
Size of the total moment = 0.24 μB per formula unit

Unit cell a=3.880 b=3.880 c=6.543 alpha=90.00 beta=90.00 gamma=90.00
Last column: magnetic moment on the atom in μB.
Fractional coordinates of all 5 atoms:
N1 0.000 0.500 0.000  0.09
N2 0.500 0.000 0.000  0.09
Te1 0.000 0.000 0.000  -0.01
Te2 0.000 0.000 0.500  0.00
F1 0.500 0.500 0.500  0.00


Which one is most stable, and which one is least stable? c is the most stable of them, while a is the least stable.


--- a ---
A plane-wave DFT calculation with PBE was carried out for an optimized crystal structure of TeNF3.

## Properties
SG = Pm-3m (221)
Size of the total moment = 2.53 μB per formula unit

Unit cell a=4.462 b=4.462 c=4.462 alpha=90.00 beta=90.00 gamma=90.00
Last column: magnetic moment on the atom in μB.
Fractional coordinates of all 5 atoms:
N1 0.500 0.500 0.500  1.90
Te1 0.000 0.000 0.000  -0.23
F1 0.000 0.500 0.000  0.00
F2 0.000 0.000 0.500  0.00
F3 0.500 0.000 0.000  0.00


--- b ---
A plane-wave DFT calculation with PBE was carried out for an optimized crystal structure of TeNF3.

## Properties
SG = Pm-3m (221)
Size of the total moment = 1.24 μB per formula unit

Unit cell a=4.025 b=4.025 c=4.025 alpha=90.00 beta=90.00 gamma=90.00
Last column: magnetic moment on the atom in μB.
Fractional coordinates of all 5 atoms:
N1 0.000 0.000 0.000  0.36
Te1 0.500 0.500 0.500  0.42
F1 0.000 0.500 0.000  0.02
F2 0.000 0.000 0.500  0.05
F3 0.500 0.000 0.000  0.03


Which one is most stable, and which one is least stable? a is the most stable of them, while b is the least stable.


--- a ---
A plane-wave DFT calculation with PBE was carried out for an optimized crystal structure of Te2NF.

## Properties
SG = R-3m (166)
Size of the total moment = 0.00 μB per formula unit

Unit cell a=8.248 b=8.248 c=8.248 alpha=23.45 beta=23.45 gamma=23.45
Fractional coordinates of all 4 atoms:
N1 0.000 0.000 0.000
Te1 0.920 0.920 0.920
Te2 0.080 0.080 0.080
F1 0.500 0.500 0.500


--- b ---
A plane-wave DFT calculation with PBE was carried out for an optimized crystal structure of Te2NF.

## Properties
SG = Fm-3m (225)
Size of the total moment = 0.00 μB per formula unit

Unit cell a=4.526 b=4.526 c=4.526 alpha=60.00 beta=60.00 gamma=60.00
Fractional coordinates of all 4 atoms:
N1 0.000 0.000 0.000
Te1 0.250 0.250 0.250
Te2 0.750 0.750 0.750
F1 0.500 0.500 0.500


--- c ---
A plane-wave DFT calculation with PBE was carried out for an optimized crystal structure of Te2NF.

## Properties
SG = I-42d (122)
Size of the total moment = 0.00 μB per formula unit

Unit cell a=4.672 b=4.672 c=7.952 alpha=72.92 beta=72.92 gamma=90.00
Fractional coordinates of all 8 atoms:
N1 0.500 0.500 0.000
N2 0.250 0.750 0.500
Te1 0.549 0.125 0.250
Te2 0.201 0.625 0.250
Te3 0.375 0.451 0.750
Te4 0.875 0.799 0.750
F1 0.000 0.000 0.000
F2 0.750 0.250 0.500


--- d ---
A plane-wave DFT calculation with PBE was carried out for an optimized crystal structure of Te2NF.

## Properties
SG = R-3m (166)
Size of the total moment = 0.00 μB per formula unit

Unit cell a=8.106 b=8.106 c=8.106 alpha=23.17 beta=23.17 gamma=23.17
Fractional coordinates of all 4 atoms:
N1 0.500 0.500 0.500
Te1 0.903 0.903 0.903
Te2 0.097 0.097 0.097
F1 0.000 0.000 0.000


Which one is most stable, and which one is least stable? a is the most stable of them, while b is the least stable.


--- a ---
A plane-wave DFT calculation with PBE was carried out for an optimized crystal structure of TeN2F.

## Properties
SG = I-42d (122)
Size of the total moment = 1.00 μB per formula unit

Unit cell a=6.828 b=6.828 c=5.322 alpha=50.10 beta=50.10 gamma=90.00
Last column: magnetic moment on the atom in μB.
Fractional coordinates of all 8 atoms:
N1 0.726 0.125 0.250  0.36
N2 0.024 0.625 0.250  0.37
N3 0.375 0.274 0.750  0.34
N4 0.875 0.976 0.750  0.34
Te1 0.000 0.000 0.000  -0.03
Te2 0.750 0.250 0.500  -0.03
F1 0.500 0.500 0.000  0.05
F2 0.250 0.750 0.500  0.05


--- b ---
A plane-wave DFT calculation with PBE was carried out for an optimized crystal structure of TeN2F.

## Properties
SG = Fm-3m (225)
Size of the total moment = 1.14 μB per formula unit

Unit cell a=3.862 b=3.862 c=3.862 alpha=60.00 beta=60.00 gamma=60.00
Last column: magnetic moment on the atom in μB.
Fractional coordinates of all 4 atoms:
N1 0.250 0.250 0.250  0.43
N2 0.750 0.750 0.750  0.43
Te1 0.500 0.500 0.500  -0.07
F1 0.000 0.000 0.000  0.09


--- c ---
A plane-wave DFT calculation with PBE was carried out for an optimized crystal structure of TeN2F.

## Properties
SG = R-3m (166)
Size of the total moment = 0.00 μB per formula unit

Unit cell a=6.133 b=6.133 c=6.133 alpha=32.35 beta=32.35 gamma=32.35
Fractional coordinates of all 4 atoms:
N1 0.891 0.891 0.891
N2 0.109 0.109 0.109
Te1 0.500 0.500 0.500
F1 0.000 0.000 0.000


Which one is most stable, and which one is least stable? a is the most stable of them, while b is the least stable.


--- a ---
A plane-wave DFT calculation with PBE was carried out for an optimized crystal structure of TlTe2NF.

## Properties
SG = P4/mmm (123)
Size of the total moment = 0.00 μB per formula unit

Unit cell a=5.868 b=5.868 c=4.086 alpha=90.00 beta=90.00 gamma=90.00
Fractional coordinates of all 5 atoms:
N1 0.000 0.000 0.500
Tl1 0.000 0.000 0.000
Te1 0.000 0.500 0.000
Te2 0.500 0.000 0.000
F1 0.500 0.500 0.500


--- b ---
A plane-wave DFT calculation with PBE was carried out for an optimized crystal structure of TlTe2NF.

## Properties
SG = P4/mmm (123)
Size of the total moment = 1.13 μB per formula unit

Unit cell a=4.779 b=4.779 c=5.631 alpha=90.00 beta=90.00 gamma=90.00
Last column: magnetic moment on the atom in μB.
Fractional coordinates of all 5 atoms:
N1 0.000 0.000 0.500  0.59
Tl1 0.500 0.500 0.500  0.01
Te1 0.000 0.500 0.000  0.06
Te2 0.500 0.000 0.000  0.06
F1 0.000 0.000 0.000  -0.01


Which one is most stable, and which one is least stable? b is the most stable of them, while a is the least stable.